Record 1
Below is a relaxed LiCo2W crystal, with properties calculated at the PBE level.

Structure (CIF):
```
data_LiCo2W
_chemical_formula_sum 'Li1 Co2 W1'
_space_group_name_H-M_alt 'P 1'
_space_group_IT_number 1
_cell_length_a 4.239
_cell_length_b 4.239
_cell_length_c 4.699
_cell_angle_alpha 84.24
_cell_angle_beta 84.24
_cell_angle_gamma 35.69
loop_
_space_group_symop_operation_xyz
'x,y,z'
loop_
_atom_site_label
_atom_site_type_symbol
_atom_site_fract_x
_atom_site_fract_y
_atom_site_fract_z
Co1 Co 0.999 0.999 0.011
Co2 Co 0.501 0.501 0.489
W1 W 0.750 0.750 0.750
Li1 Li 0.250 0.250 0.250
```


Record 2
Below is a relaxed LiCoW2 crystal, with properties calculated at the PBE level.

Properties
Offset from the most stable computed form, eV/atom: 0.105

Structure (CIF):
```
data_LiCoW2
_chemical_formula_sum 'Li1 Co1 W2'
_space_group_name_H-M_alt 'P 1'
_space_group_IT_number 1
_cell_length_a 4.905
_cell_length_b 4.905
_cell_length_c 2.633
_cell_angle_alpha 81.87
_cell_angle_beta 81.87
_cell_angle_gamma 115.61
loop_
_space_group_symop_operation_xyz
'x,y,z'
loop_
_atom_site_label
_atom_site_type_symbol
_atom_site_fract_x
_atom_site_fract_y
_atom_site_fract_z
Co1 Co 0.500 0.000 0.500
Li1 Li 0.000 0.500 0.500
W1 W 0.000 0.000 0.000
W2 W 0.500 0.500 0.000
```


Record 3
Below is a relaxed Li4CoW crystal, with properties calculated at the PBE level.

Structure (CIF):
```
data_Li4CoW
_chemical_formula_sum 'Li4 Co1 W1'
_space_group_name_H-M_alt 'P 1'
_space_group_IT_number 1
_cell_length_a 4.698
_cell_length_b 4.698
_cell_length_c 4.698
_cell_angle_alpha 60.00
_cell_angle_beta 60.00
_cell_angle_gamma 60.00
loop_
_space_group_symop_operation_xyz
'x,y,z'
loop_
_atom_site_label
_atom_site_type_symbol
_atom_site_fract_x
_atom_site_fract_y
_atom_site_fract_z
Li1 Li 0.374 0.374 0.879
Li2 Li 0.374 0.879 0.374
Li3 Li 0.879 0.374 0.374
Li4 Li 0.374 0.374 0.374
W1 W 0.750 0.750 0.750
Co1 Co 0.000 0.000 0.000
```


Record 4
Below is a relaxed LiCoW2 crystal, with properties calculated at the PBE level.

Properties
Offset from the most stable computed form, eV/atom: 0.098

Structure (CIF):
```
data_LiCoW2
_chemical_formula_sum 'Li1 Co1 W2'
_space_group_name_H-M_alt 'P 1'
_space_group_IT_number 1
_cell_length_a 4.583
_cell_length_b 4.583
_cell_length_c 4.798
_cell_angle_alpha 81.69
_cell_angle_beta 81.69
_cell_angle_gamma 33.56
loop_
_space_group_symop_operation_xyz
'x,y,z'
loop_
_atom_site_label
_atom_site_type_symbol
_atom_site_fract_x
_atom_site_fract_y
_atom_site_fract_z
Li1 Li 0.760 0.760 0.749
W1 W 0.236 0.236 0.270
W2 W 0.001 0.001 0.978
Co1 Co 0.503 0.503 0.504
```


| no. | DOS at the Fermi energy (states/eV/cell) | calculated formation energy (eV/atom) |
| --- | --- | --- |
| 1 | 3.69 | 0.33 |
| 2 | 3.55 | 0.40 |
| 3 | 4.02 | 0.65 |
| 4 | 3.10 | 0.39 |